# 1
DFT (PBE-GGA) results for Ac12Ge6Au after structural relaxation.

Properties
The value obtained for the formation energy is -0.453 eV per atom.

abc: 9.2456 9.2456 9.2456
angles: 100.72 100.72 100.72
With the nearest neighbours (Å) after each atom.
Element x y z (fractional)
Ac 0.0560 0.6741 0.9279  1 Au 3.12, 2 Ge 3.14-3.16
Ac 0.0721 0.9440 0.3259  1 Au 3.12, 2 Ge 3.14-3.16
Ac 0.1829 0.4144 0.5584  4 Ge 3.17-3.39
Ac 0.3259 0.0721 0.9440  1 Au 3.12, 2 Ge 3.14-3.16
Ac 0.4144 0.5584 0.1829  4 Ge 3.17-3.39
Ac 0.4416 0.8171 0.5856  4 Ge 3.17-3.39
Ac 0.5584 0.1829 0.4144  4 Ge 3.17-3.39
Ac 0.5856 0.4416 0.8171  4 Ge 3.17-3.39
Ac 0.6741 0.9279 0.0560  1 Au 3.12, 2 Ge 3.14-3.16
Ac 0.8171 0.5856 0.4416  4 Ge 3.17-3.39
Ac 0.9279 0.0560 0.6741  1 Au 3.12, 2 Ge 3.14-3.16
Ac 0.9440 0.3259 0.0721  1 Au 3.12, 2 Ge 3.14-3.16
Ge 0.1321 0.6173 0.3152  6 Ac 3.14-3.39
Ge 0.3152 0.1321 0.6173  6 Ac 3.14-3.39
Ge 0.3827 0.6848 0.8679  6 Ac 3.14-3.39
Ge 0.6173 0.3152 0.1321  6 Ac 3.14-3.39
Ge 0.6848 0.8679 0.3827  6 Ac 3.14-3.39
Ge 0.8679 0.3827 0.6848  6 Ac 3.14-3.39
Au 0.0000 0.0000 0.0000  6 Ac 3.12

# 2
DFT (PBE-GGA) results for TbPr2Sn3Pt4 after structural relaxation.

Properties
The value obtained for the formation energy is -0.913 eV per atom.

abc: 4.6200 4.6200 11.1291
angles: 90.00 90.00 90.00
With the nearest neighbours (Å) after each atom.
Element x y z (fractional)
Tb 0.0000 0.0000 0.0000  4 Pt 2.80
Pr 0.0000 0.5000 0.7197  8 Pt 3.36-3.61, 4 Sn 3.44
Pr 0.5000 0.0000 0.2803  8 Pt 3.36-3.61, 4 Sn 3.44
Sn 0.0000 0.5000 0.3758  5 Pt 2.60-2.69
Sn 0.5000 0.0000 0.6242  5 Pt 2.60-2.69
Sn 0.5000 0.5000 0.0000  4 Pt 2.80
Pt 0.0000 0.0000 0.5000  4 Sn 2.69
Pt 0.0000 0.5000 0.1421  3 Sn 2.60-2.80, 2 Tb 2.80
Pt 0.5000 0.0000 0.8579  3 Sn 2.60-2.80, 2 Tb 2.80
Pt 0.5000 0.5000 0.5000  4 Sn 2.69

# 3
DFT (PBE-GGA) results for Sr2NdHoSe4 after structural relaxation.

Properties
The raw formation energy comes out at -1.890 eV per atom.

abc: 7.3542 4.2420 7.5123
angles: 90.00 109.00 90.00
With the nearest neighbours (Å) after each atom.
Element x y z (fractional)
Sr 0.0000 0.0000 0.0000  6 Se 3.12-3.13
Sr 0.5000 0.5000 0.0000  6 Se 3.06
Nd 0.0000 0.5000 0.5000  6 Se 3.00
Ho 0.5000 0.0000 0.5000  6 Se 2.93
Se 0.2538 0.0000 0.7374  1 Ho 2.93, 2 Nd 3.00, 3 Sr 3.06-3.13
Se 0.2633 0.5000 0.2679  2 Ho 2.93, 1 Nd 3.00, 3 Sr 3.06-3.12
Se 0.7367 0.5000 0.7321  2 Ho 2.93, 1 Nd 3.00, 3 Sr 3.06-3.12
Se 0.7462 0.0000 0.2626  1 Ho 2.93, 2 Nd 3.00, 3 Sr 3.06-3.13

# 4
DFT (PBE-GGA) results for Cr2AgPt2 after structural relaxation.

Properties
The value obtained for the formation energy is 0.107 eV per atom. Its energy relative to the lowest polymorph listed for this composition is 4.84 kJ per mole of atoms.

abc: 7.5152 7.5152 2.6685
angles: 90.00 90.00 90.00
With the nearest neighbours (Å) after each atom.
Element x y z (fractional)
Cr 0.1683 0.3317 0.0000  6 Pt 2.54-2.62, 2 Cr 2.67
Cr 0.3317 0.8317 0.0000  6 Pt 2.54-2.62, 2 Cr 2.67
Cr 0.6683 0.1683 0.0000  6 Pt 2.54-2.62, 2 Cr 2.67
Cr 0.8317 0.6683 0.0000  6 Pt 2.54-2.62, 2 Cr 2.67
Ag 0.0000 0.0000 0.5000  2 Ag 2.67, 4 Pt 2.95
Ag 0.5000 0.5000 0.5000  2 Ag 2.67, 4 Pt 2.95
Pt 0.1284 0.6284 0.5000  6 Cr 2.54-2.62, 3 Pt 2.67-2.73
Pt 0.3716 0.1284 0.5000  6 Cr 2.54-2.62, 3 Pt 2.67-2.73
Pt 0.6284 0.8716 0.5000  6 Cr 2.54-2.62, 3 Pt 2.67-2.73
Pt 0.8716 0.3716 0.5000  6 Cr 2.54-2.62, 3 Pt 2.67-2.73

# 5
DFT (PBE-GGA) results for La2Tb3Ho6 after structural relaxation.

Properties
The value obtained for the formation energy is 0.181 eV per atom.

abc: 6.0958 6.0958 11.7343
angles: 94.36 94.36 119.28
With the nearest neighbours (Å) after each atom.
Element x y z (fractional)
La 0.1752 0.8248 0.0000  3 La 3.46-3.69, 6 Ho 3.54-3.65
La 0.8248 0.1752 0.0000  3 La 3.46-3.69, 6 Ho 3.54-3.65
Tb 0.0000 0.0000 0.5000  6 Ho 3.49-3.52, 6 Tb 3.53
Tb 0.3355 0.6645 0.5000  6 Tb 3.46-3.57, 6 Ho 3.48-3.51
Tb 0.6645 0.3355 0.5000  6 Tb 3.46-3.57, 6 Ho 3.48-3.51
Ho 0.0729 0.4066 0.7438  3 Tb 3.48-3.50, 6 Ho 3.50-3.55, 2 La 3.54-3.59
Ho 0.2606 0.2606 0.2524  6 Ho 3.50-3.55, 3 Tb 3.51-3.52, 2 La 3.65
Ho 0.4066 0.0729 0.7438  3 Tb 3.48-3.50, 6 Ho 3.50-3.55, 2 La 3.54-3.59
Ho 0.5934 0.9271 0.2562  3 Tb 3.48-3.50, 6 Ho 3.50-3.55, 2 La 3.54-3.59
Ho 0.7394 0.7394 0.7476  6 Ho 3.50-3.55, 3 Tb 3.51-3.52, 2 La 3.65
Ho 0.9271 0.5934 0.2562  3 Tb 3.48-3.50, 6 Ho 3.50-3.55, 2 La 3.54-3.59

# 6
DFT (PBE-GGA) results for YTi3Mn after structural relaxation.

Properties
The value obtained for the formation energy is 1.987 eV per atom. Its energy relative to the lowest polymorph listed for this composition is 174.33 kJ per mole of atoms.

abc: 4.7031 4.7031 4.7031
angles: 90.00 90.00 90.00
With the nearest neighbours (Å) after each atom.
Element x y z (fractional)
Y 0.0000 0.0000 0.0000  6 Ti 2.35
Ti 0.0000 0.0000 0.5000  2 Y 2.35
Ti 0.0000 0.5000 0.0000  2 Y 2.35
Ti 0.5000 0.0000 0.0000  2 Y 2.35
Mn 0.5000 0.5000 0.5000  12 Ti 3.33

# 7
DFT (PBE-GGA) results for Ho8NiPt2 after structural relaxation.

Properties
The value obtained for the formation energy is -0.553 eV per atom. Its energy relative to the lowest polymorph listed for this composition is 0.00 kJ per mole of atoms.

abc: 8.9444 8.9444 6.7273
angles: 102.91 102.91 32.10
With the nearest neighbours (Å) after each atom.
Element x y z (fractional)
Ho 0.0316 0.0316 0.2842  1 Pt 2.87, 2 Ni 2.98
Ho 0.2064 0.2064 0.8224  3 Pt 2.81-3.09
Ho 0.3372 0.3372 0.5273  3 Pt 2.81-3.07, 1 Ni 2.85
Ho 0.4099 0.4099 0.0504  1 Ni 3.06, 5 Ho 3.32-3.41, 2 Pt 3.35
Ho 0.5901 0.5901 0.9496  1 Ni 3.06, 5 Ho 3.32-3.41, 2 Pt 3.35
Ho 0.6628 0.6628 0.4727  3 Pt 2.81-3.07, 1 Ni 2.85
Ho 0.7936 0.7936 0.1776  3 Pt 2.81-3.09
Ho 0.9684 0.9684 0.7158  1 Pt 2.87, 2 Ni 2.98
Ni 0.5000 0.5000 0.5000  8 Ho 2.85-3.06
Pt 0.1922 0.1922 0.2304  7 Ho 2.81-3.09
Pt 0.8078 0.8078 0.7696  7 Ho 2.81-3.09

Total moment values, unit μB per cell, following the record order: 0.80, 0.00, 0.00, 0.00, 0.00, 0.22, 0.00.
E values, unit eV per cell, following the record order: -88.89, -59.49, -41.77, -67.29, -49.22, -29.38, -60.56.